[1]
This record from Alexandria via LeMat-Bulk describes an optimized crystal structure of Ta3IrSe. The functional is PBE.

Summary:
SG   No. 221
Offset from the most stable computed form   0.000 eV/atom
ΔE_f (raw)   1.0453 eV per atom

Unit cell a=4.6341 b=4.6341 c=4.6341 alpha=90.00 beta=90.00 gamma=90.00
Positions (direct):
Ir 0.5000 0.5000 0.5000
Se 0.0000 0.0000 0.0000
Ta 0.0000 0.5000 0.0000
Ta 0.0000 0.0000 0.5000
Ta 0.5000 0.0000 0.0000

---

[2]
This record from Alexandria via LeMat-Bulk describes an optimized crystal structure of NaTbHg2. The functional is PBE.

Summary:
SG   No. 160
E_form   -0.217 eV per atom

Unit cell a=3.7193 b=3.7193 c=9.5944 alpha=78.82 beta=78.82 gamma=60.00
Positions (direct):
Na 0.4998 0.4998 0.5007
Tb 0.6668 0.6668 0.9996
Hg 0.0815 0.0815 0.7556
Hg 0.2520 0.2520 0.2441

---

[3]
This record from Alexandria via LeMat-Bulk describes an optimized crystal structure of UMnFeRu. The functional is PBE.

Summary:
SG   No. 216
E_form   0.063 eV per atom

Unit cell a=4.4411 b=4.4411 c=4.4411 alpha=60.00 beta=60.00 gamma=60.00
Last column: magnetic moment on the atom in μB.
Positions (direct):
Ru 0.7500 0.7500 0.7500  0.35
Mn 0.0000 0.0000 0.0000  3.14
U 0.5000 0.5000 0.5000  -1.74
Fe 0.2500 0.2500 0.2500  1.46

---

These records have DOS at the Fermi energy values of 7.4, 2.5, 8.1 states/eV/cell, in the order they appear.
These records have total magnetic moment values of 0.0, 0.0, 3.1 μB per cell, in the order they appear.
These records have calculated volume values of 19.90, 28.01, 15.48 Å³/atom, in the order they appear.